! PBE-GGA CdAg5Au5, optimized geometry; values from VASP
&SYSTEM
  ibrav = 0, nat = 11, ntyp = 3
/
ATOMIC_SPECIES
Cd 112.41 Cd.upf
Ag 107.87 Ag.upf
Au 196.97 Au.upf
CELL_PARAMETERS angstrom
-1.718 4.368 2.383
-3.408 -3.783 -1.336
1.314 -4.305 8.841
ATOMIC_POSITIONS crystal
Cd 0.333 0.667 0.000
Ag 0.667 0.333 0.232
Ag 0.667 0.333 0.768
Ag 0.333 0.667 0.299
Ag 0.333 0.667 0.701
Ag 0.000 0.000 0.000
Au 0.336 0.168 0.500
Au 0.000 0.000 0.261
Au 0.832 0.664 0.500
Au 0.832 0.168 0.500
Au 0.000 0.000 0.739
! - V: 21.64 Å³/atom
! - Space-group type: P-6m2 (187)
! - ΔH_f (0 K): 0.188 eV/atom
! - Crystal system: hexagonal